The following is a DFT calculation (PBE) of V2NiRh8 after structural relaxation.

Geometry as extended XYZ:
```
11
Lattice="3.8352 0.0000 -1.1672 -0.9897 5.7255 -3.2518 0.0403 0.1203 7.0167" Properties=species:S:1:pos:R:3 pbc="T T T"
V 0.0963 4.0680 0.3163
V 2.7895 1.7778 2.2814
Ni 1.9176 0.0000 -0.5836
Rh 1.6557 4.9920 -1.4442
Rh 0.8072 3.3003 2.6522
Rh 0.4446 0.9065 1.4609
Rh -0.3015 1.7442 -0.9906
Rh 2.4411 4.9393 1.1367
Rh 2.0786 2.5455 -0.0546
Rh 1.2301 0.8538 4.0418
Rh 3.1872 4.1016 3.5882
```

Output
The space group is Immm. The formation energy comes out at -1.24 eV per formula unit. The value obtained for the density of states at the Fermi level is 1.48 states/eV per atom. Its total energy is -7.64 eV/atom.